Record 1
Gd2Al4CoGe2 | PBEsol | optimized geometry

Geometry as extended XYZ:
```
9
Lattice="4.101 0.000 0.000 0.000 4.101 0.000 -2.051 -2.051 9.717" Properties=species:S:1:pos:R:3 pbc="T T T"
Ge 0.000 0.000 6.554
Ge 2.051 2.051 3.163
Al 2.051 0.000 1.277
Al 0.000 2.051 8.440
Al 0.000 2.051 1.277
Al 2.051 0.000 8.440
Gd 2.051 2.051 6.142
Gd 0.000 0.000 3.575
Co 0.000 0.000 0.000
```

theoretical density = 6.37 g/cm3
formation energy = -0.6880 eV per atom



Record 2
La2NiPt | PBEsol | optimized geometry

Geometry as extended XYZ:
```
4
Lattice="-3.346 1.494 -0.588 -1.085 -3.340 -2.311 0.230 -1.677 6.139" Properties=species:S:1:pos:R:3 pbc="T T T"
La -4.153 -3.460 3.127
La -2.750 -0.662 2.248
Ni -2.371 -1.126 -1.083
Pt -1.344 -2.720 0.738
```

theoretical density = 9.89 g/cm3
formation energy = -0.5402 eV per atom



Record 3
ZnHg3 | PBEsol | optimized geometry

Geometry as extended XYZ:
```
16
Lattice="6.419 0.000 0.000 0.000 6.796 0.000 0.000 0.000 7.896" Properties=species:S:1:pos:R:3 pbc="T T T"
Hg 2.365 1.395 0.411
Hg 5.532 0.026 1.974
Hg 0.845 4.793 0.411
Hg 2.365 1.395 3.537
Hg 4.054 5.401 4.359
Hg 0.887 6.770 5.922
Hg 0.845 4.793 3.537
Hg 5.574 2.003 7.485
Hg 4.096 3.424 1.974
Hg 5.574 2.003 4.359
Hg 2.323 3.372 5.922
Hg 4.054 5.401 7.485
Zn 2.808 5.900 1.974
Zn 3.610 0.896 5.922
Zn 0.401 2.502 1.974
Zn 6.017 4.294 5.922
```

excess energy over the best structure of this formula in the dataset = 1.0 meV/atom
theoretical density = 12.87 g/cm3
formation energy = 0.0482 eV per atom



| no. | magnetization (μB/f.u.) |
| --- | --- |
| 1 | 14.1 |
| 2 | 0.0 |
| 3 | 0.0 |